Entry 1:
# PBE MnReAg2, relaxed
data_MnReAg2
_cell_length_a 5.065
_cell_length_b 5.065
_cell_length_c 4.826
_cell_angle_alpha 98.21
_cell_angle_beta 98.21
_cell_angle_gamma 31.18
_symmetry_space_group_name_H-M 'P 1'
_symmetry_Int_Tables_number 1
loop_
_symmetry_equiv_pos_as_xyz
'x,y,z'
loop_
_atom_site_label
_atom_site_fract_x
_atom_site_fract_y
_atom_site_fract_z
Mn1 0.000 0.000 0.000
Re1 0.500 0.500 0.500
Ag1 0.249 0.249 0.750
Ag2 0.751 0.751 0.250
# symmetry	C2/m
# spin magnetization	2.86	μB/cell
# relative energy among the computed polymorphs	0.222	eV/atom
# DFT formation energy	0.549	eV/atom

=====

Entry 2:
# PBE KMnReN2, relaxed
data_KMnReN2
_cell_length_a 3.877
_cell_length_b 3.877
_cell_length_c 4.679
_cell_angle_alpha 90.00
_cell_angle_beta 90.00
_cell_angle_gamma 90.00
_symmetry_space_group_name_H-M 'P 1'
_symmetry_Int_Tables_number 1
loop_
_symmetry_equiv_pos_as_xyz
'x,y,z'
loop_
_atom_site_label
_atom_site_fract_x
_atom_site_fract_y
_atom_site_fract_z
K1 0.000 0.000 0.000
Mn1 0.500 0.500 0.500
Re1 0.500 0.500 0.000
N1 0.000 0.500 0.500
N2 0.500 0.000 0.500
# symmetry	P4/mmm
# spin magnetization	0.04	μB/cell
# raw formation energy	1.794	eV per atom

=====

Entry 3:
# PBE Ce3SmPb5, relaxed
data_Ce3SmPb5
_cell_length_a 9.670
_cell_length_b 9.670
_cell_length_c 6.669
_cell_angle_alpha 90.00
_cell_angle_beta 90.00
_cell_angle_gamma 120.00
_symmetry_space_group_name_H-M 'P 1'
_symmetry_Int_Tables_number 1
loop_
_symmetry_equiv_pos_as_xyz
'x,y,z'
loop_
_atom_site_label
_atom_site_fract_x
_atom_site_fract_y
_atom_site_fract_z
Ce1 0.000 0.382 0.250
Ce2 0.000 0.618 0.750
Ce3 0.382 0.000 0.250
Ce4 0.382 0.382 0.750
Ce5 0.618 0.000 0.750
Ce6 0.618 0.618 0.250
Sm1 0.000 0.000 0.000
Sm2 0.000 0.000 0.500
Pb1 0.000 0.287 0.750
Pb2 0.000 0.713 0.250
Pb3 0.287 0.000 0.750
Pb4 0.287 0.287 0.250
Pb5 0.333 0.667 0.000
Pb6 0.333 0.667 0.500
Pb7 0.667 0.333 0.000
Pb8 0.667 0.333 0.500
Pb9 0.713 0.000 0.250
Pb10 0.713 0.713 0.750
# symmetry	P6_3/mcm
# spin magnetization	4.33	μB/cell
# DFT formation energy	-0.414	eV/atom

=====

Entry 4:
# PBE CoCuTeN2, relaxed
data_CoCuTeN2
_cell_length_a 3.624
_cell_length_b 3.624
_cell_length_c 5.554
_cell_angle_alpha 90.00
_cell_angle_beta 90.00
_cell_angle_gamma 90.00
_symmetry_space_group_name_H-M 'P 1'
_symmetry_Int_Tables_number 1
loop_
_symmetry_equiv_pos_as_xyz
'x,y,z'
loop_
_atom_site_label
_atom_site_fract_x
_atom_site_fract_y
_atom_site_fract_z
Co1 0.000 0.000 0.000
Cu1 0.500 0.500 0.500
Te1 0.000 0.000 0.500
N1 0.000 0.500 0.000
N2 0.500 0.000 0.000
# symmetry	P4/mmm
# spin magnetization	0.00	μB/cell
# relative energy among the computed polymorphs	0.000	eV/atom
# raw formation energy	1.009	eV per atom

=====

Entry 5:
# PBE YRhIO2, relaxed
data_YRhIO2
_cell_length_a 4.213
_cell_length_b 4.213
_cell_length_c 6.661
_cell_angle_alpha 90.00
_cell_angle_beta 90.00
_cell_angle_gamma 90.00
_symmetry_space_group_name_H-M 'P 1'
_symmetry_Int_Tables_number 1
loop_
_symmetry_equiv_pos_as_xyz
'x,y,z'
loop_
_atom_site_label
_atom_site_fract_x
_atom_site_fract_y
_atom_site_fract_z
Y1 0.000 0.000 0.000
Rh1 0.500 0.500 0.500
I1 0.000 0.000 0.500
O1 0.000 0.500 0.000
O2 0.500 0.000 0.000
# symmetry	P4/mmm
# spin magnetization	1.30	μB/cell
# relative energy among the computed polymorphs	0.000	eV/atom
# raw formation energy	-0.765	eV per atom

=====

Entry 6:
# PBE PmPrSi2, relaxed
data_PmPrSi2
_cell_length_a 7.299
_cell_length_b 7.299
_cell_length_c 7.299
_cell_angle_alpha 34.19
_cell_angle_beta 34.19
_cell_angle_gamma 34.19
_symmetry_space_group_name_H-M 'P 1'
_symmetry_Int_Tables_number 1
loop_
_symmetry_equiv_pos_as_xyz
'x,y,z'
loop_
_atom_site_label
_atom_site_fract_x
_atom_site_fract_y
_atom_site_fract_z
Pm1 0.000 0.000 0.000
Pr1 0.500 0.500 0.500
Si1 0.252 0.252 0.252
Si2 0.748 0.748 0.748
# symmetry	R-3m
# spin magnetization	0.00	μB/cell
# relative energy among the computed polymorphs	0.337	eV/atom
# raw formation energy	-0.424	eV per atom

=====

Entry 7:
# PBE GaBiIN2, relaxed
data_GaBiIN2
_cell_length_a 4.501
_cell_length_b 4.501
_cell_length_c 6.876
_cell_angle_alpha 90.00
_cell_angle_beta 90.00
_cell_angle_gamma 90.00
_symmetry_space_group_name_H-M 'P 1'
_symmetry_Int_Tables_number 1
loop_
_symmetry_equiv_pos_as_xyz
'x,y,z'
loop_
_atom_site_label
_atom_site_fract_x
_atom_site_fract_y
_atom_site_fract_z
Ga1 0.000 0.000 0.000
Bi1 0.500 0.500 0.500
I1 0.500 0.500 0.000
N1 0.000 0.500 0.500
N2 0.500 0.000 0.500
# symmetry	P4/mmm
# spin magnetization	2.02	μB/cell
# relative energy among the computed polymorphs	0.000	eV/atom
# raw formation energy	1.308	eV per atom

=====

Entry 8:
# PBE AlTc2SnPb, relaxed
data_AlTc2SnPb
_cell_length_a 5.055
_cell_length_b 5.055
_cell_length_c 4.985
_cell_angle_alpha 90.00
_cell_angle_beta 90.00
_cell_angle_gamma 90.00
_symmetry_space_group_name_H-M 'P 1'
_symmetry_Int_Tables_number 1
loop_
_symmetry_equiv_pos_as_xyz
'x,y,z'
loop_
_atom_site_label
_atom_site_fract_x
_atom_site_fract_y
_atom_site_fract_z
Al1 0.000 0.000 0.000
Tc1 0.000 0.500 0.500
Tc2 0.500 0.000 0.500
Sn1 0.000 0.000 0.500
Pb1 0.500 0.500 0.000
# symmetry	P4/mmm
# spin magnetization	3.57	μB/cell
# DFT formation energy	1.477	eV/atom

=====

Entry 9:
# PBE OsRuRh2, relaxed
data_OsRuRh2
_cell_length_a 4.352
_cell_length_b 4.352
_cell_length_c 4.352
_cell_angle_alpha 60.00
_cell_angle_beta 60.00
_cell_angle_gamma 60.00
_symmetry_space_group_name_H-M 'P 1'
_symmetry_Int_Tables_number 1
loop_
_symmetry_equiv_pos_as_xyz
'x,y,z'
loop_
_atom_site_label
_atom_site_fract_x
_atom_site_fract_y
_atom_site_fract_z
Os1 0.000 0.000 0.000
Ru1 0.750 0.750 0.750
Rh1 0.250 0.250 0.250
Rh2 0.500 0.500 0.500
# symmetry	F-43m
# spin magnetization	1.51	μB/cell
# relative energy among the computed polymorphs	0.461	eV/atom
# DFT formation energy	0.509	eV/atom

=====

Entry 10:
# PBE Mg2IrRu, relaxed
data_Mg2IrRu
_cell_length_a 4.878
_cell_length_b 4.878
_cell_length_c 4.878
_cell_angle_alpha 132.09
_cell_angle_beta 132.09
_cell_angle_gamma 70.09
_symmetry_space_group_name_H-M 'P 1'
_symmetry_Int_Tables_number 1
loop_
_symmetry_equiv_pos_as_xyz
'x,y,z'
loop_
_atom_site_label
_atom_site_fract_x
_atom_site_fract_y
_atom_site_fract_z
Mg1 0.250 0.750 0.500
Mg2 0.750 0.250 0.500
Ir1 0.000 0.000 0.000
Ru1 0.500 0.500 0.000
# symmetry	I4/mmm
# spin magnetization	1.20	μB/cell
# DFT formation energy	-0.008	eV/atom

=====

Entry 11:
# PBE K2LaSc, relaxed
data_K2LaSc
_cell_length_a 3.739
_cell_length_b 3.728
_cell_length_c 12.788
_cell_angle_alpha 90.00
_cell_angle_beta 90.13
_cell_angle_gamma 90.00
_symmetry_space_group_name_H-M 'P 1'
_symmetry_Int_Tables_number 1
loop_
_symmetry_equiv_pos_as_xyz
'x,y,z'
loop_
_atom_site_label
_atom_site_fract_x
_atom_site_fract_y
_atom_site_fract_z
K1 0.000 0.000 0.000
K2 0.492 0.500 0.316
La1 0.495 0.500 0.727
Sc1 0.994 0.000 0.557
# symmetry	Pm
# spin magnetization	0.65	μB/cell
# relative energy among the computed polymorphs	0.000	eV/atom
# DFT formation energy	0.304	eV/atom

=====

Entry 12:
# PBE V2GeBiC, relaxed
data_V2GeBiC
_cell_length_a 5.236
_cell_length_b 5.236
_cell_length_c 4.420
_cell_angle_alpha 90.00
_cell_angle_beta 90.00
_cell_angle_gamma 90.00
_symmetry_space_group_name_H-M 'P 1'
_symmetry_Int_Tables_number 1
loop_
_symmetry_equiv_pos_as_xyz
'x,y,z'
loop_
_atom_site_label
_atom_site_fract_x
_atom_site_fract_y
_atom_site_fract_z
V1 0.000 0.500 0.000
V2 0.500 0.000 0.000
Ge1 0.000 0.000 0.500
Bi1 0.500 0.500 0.000
C1 0.500 0.500 0.500
# symmetry	P4/mmm
# spin magnetization	5.65	μB/cell
# DFT formation energy	2.209	eV/atom

=====

Entry 13:
# PBE Li2TlSb, relaxed
data_Li2TlSb
_cell_length_a 5.189
_cell_length_b 5.189
_cell_length_c 5.189
_cell_angle_alpha 60.00
_cell_angle_beta 60.00
_cell_angle_gamma 60.00
_symmetry_space_group_name_H-M 'P 1'
_symmetry_Int_Tables_number 1
loop_
_symmetry_equiv_pos_as_xyz
'x,y,z'
loop_
_atom_site_label
_atom_site_fract_x
_atom_site_fract_y
_atom_site_fract_z
Li1 0.000 0.000 0.000
Li2 0.250 0.250 0.250
Tl1 0.750 0.750 0.750
Sb1 0.500 0.500 0.500
# symmetry	F-43m
# spin magnetization	0.00	μB/cell
# raw formation energy	-0.205	eV per atom